Material: SrZnInNi
Method: DFT, GGA-PBE
State: relaxed

Calculated values
The formation energy is -0.08 eV per atom. The polymorph energy (0 for the lowest one) is 154 meV/atom. The space group is No. 6. For the total magnetization, the calculation gives 0.00 μB per cell.

Cell: 3.4679 3.5306 7.5924 Å, 90.00 103.35 90.00°
Atoms (fractional coordinates):
Sr (0.0000, 0.0000, 0.0000)
Zn (0.3356, 0.5000, 0.6733)
In (0.6701, 0.5000, 0.3364)
Ni (0.7995, 0.0000, 0.6025)

Material: TaCuSi2
Method: DFT, GGA-PBE
State: relaxed

Calculated values
The space group is No. 25. For the total magnetization, the calculation gives 0.00 μB per cell. The value obtained for the uncorrected formation energy is -0.133 eV/atom.

Cell: 2.7189 4.4066 4.7741 Å, 90.00 90.00 90.00°
Atoms (fractional coordinates):
Ta (0.0000, 0.0000, 0.0000)
Cu (0.5000, 0.5000, 0.7286)
Si (0.5000, 0.0000, 0.5034)
Si (0.5000, 0.5000, 0.2195)

Material: KAg2Os
Method: DFT, GGA-PBE
State: relaxed

Calculated values
The formation energy is 0.91 eV per atom. The polymorph energy (0 for the lowest one) is 182 meV/atom. The space group is No. 71. For the total magnetization, the calculation gives 0.25 μB per cell.

Cell: 6.5672 6.5672 6.5672 Å, 156.38 128.23 57.66°
Atoms (fractional coordinates):
K (0.0000, 0.0000, 0.0000)
Ag (0.2894, 0.7894, 0.5000)
Ag (0.7106, 0.2106, 0.5000)
Os (0.5000, 0.5000, 0.0000)

Material: TbPrPtRh
Method: DFT, GGA-PBE
State: relaxed

Calculated values
The formation energy is -0.96 eV per atom. The polymorph energy (0 for the lowest one) is 0 meV/atom. The space group is No. 38. For the total magnetization, the calculation gives 0.00 μB per cell.

Cell: 4.4393 5.7144 5.7144 Å, 39.63 90.00 90.00°
Atoms (fractional coordinates):
Tb (0.0000, 0.0000, 0.0000)
Pr (0.5000, 0.2807, 0.2807)
Pt (0.0000, 0.7193, 0.7193)
Rh (0.5000, 0.5461, 0.5461)

For reference, volume by record: 22.61, 14.30, 22.17, 23.11 Å³ per atom.